# 1
Compound: Cr2HgOs
Source: Alexandria via LeMat-Bulk
Functional: GGA-PBE
Structure: optimized geometry

Structure (POSCAR):
```
Cr2HgOs
1.0
4.836 -0.011 -0.030
3.984 2.742 -0.030
1.227 0.380 4.518
Cr Hg Os
2 1 1
Direct
0.728 0.728 0.777
0.004 0.004 0.008
0.497 0.497 0.511
0.271 0.271 0.203
```

Calculated values
- Fermi-level density of states (states/eV/cell) = 4.2
- SG = Cm
- formation enthalpy at 0 K (eV/atom) = 0.514

***

# 2
Compound: NdThPtRh
Source: Alexandria via LeMat-Bulk
Functional: GGA-PBE
Structure: optimized geometry

Structure (POSCAR):
```
NdThPtRh
1.0
-4.928 -1.200 0.014
-1.599 -4.126 2.479
-2.718 0.491 4.254
Nd Th Rh Pt
1 1 1 1
Direct
0.500 0.500 0.500
0.000 0.000 0.000
0.250 0.250 0.250
0.750 0.750 0.750
```

Calculated values
- Fermi-level density of states (states/eV/cell) = 5.3
- distance to the lowest polymorph of the same formula (meV/atom) = 187
- SG = F-43m
- formation enthalpy at 0 K (eV/atom) = -0.849

***

# 3
Compound: AlCr2Cd
Source: Alexandria via LeMat-Bulk
Functional: GGA-PBE
Structure: optimized geometry

Structure (POSCAR):
```
AlCr2Cd
1.0
5.005 0.011 -0.009
-2.261 4.466 -0.009
0.273 0.445 2.593
Cd Al Cr
1 1 2
Direct
0.000 0.500 0.500
0.500 0.000 0.500
0.500 0.500 0.000
0.000 0.000 0.000
```

Calculated values
- Fermi-level density of states (states/eV/cell) = 3.5
- SG = C2/m
- formation enthalpy at 0 K (eV/atom) = 0.423

***

# 4
Compound: ZnNi5Pt6
Source: Alexandria via LeMat-Bulk
Functional: GGA-PBE
Structure: optimized geometry

Structure (POSCAR):
```
ZnNi5Pt6
1.0
3.737 -0.003 -1.047
-2.666 6.174 -2.337
-0.020 -0.020 7.119
Pt Ni Zn
6 5 1
Direct
0.754 0.254 0.254
0.246 0.746 0.746
0.252 0.420 0.084
0.748 0.580 0.916
0.748 0.916 0.580
0.252 0.084 0.420
0.500 0.833 0.167
0.000 0.333 0.667
0.000 0.667 0.333
0.500 0.500 0.500
0.500 0.167 0.833
0.000 0.000 0.000
```

Calculated values
- Fermi-level density of states (states/eV/cell) = 17.8
- SG = Immm
- formation enthalpy at 0 K (eV/atom) = -0.167